No. 1
Pr12CdSi6 | the Alexandria database | GGA-PBE | optimized geometry; calculated volume = 29.60 Å³ per atom; final energy = -99.73 eV for the cell shown; total moment = 0.000 μB per atom; crystal system = cubic; symmetry = Im-3, No. 204; energy relative to the elements, uncorrected = -0.4697 eV/atom; density of states at the Fermi level = 13.46 states/eV per cell
1.0
-5.2001 5.2001 5.2001
5.2001 -5.2001 5.2001
5.2001 5.2001 -5.2001
Pr Cd Si
12 1 6
direct
0.1092 0.2975 0.8117 Pr
0.1883 0.4857 0.2975 Pr
0.1883 0.8908 0.7025 Pr
0.2975 0.1883 0.4857 Pr
0.2975 0.8117 0.1092 Pr
0.4857 0.2975 0.1883 Pr
0.5143 0.7025 0.8117 Pr
0.7025 0.1883 0.8908 Pr
0.7025 0.8117 0.5143 Pr
0.8117 0.1092 0.2975 Pr
0.8117 0.5143 0.7025 Pr
0.8908 0.7025 0.1883 Pr
0.0000 0.0000 0.0000 Cd
0.1133 0.5000 0.6133 Si
0.3867 0.8867 0.5000 Si
0.5000 0.3867 0.8867 Si
0.5000 0.6133 0.1133 Si
0.6133 0.1133 0.5000 Si
0.8867 0.5000 0.3867 Si


No. 2
CaMg2Tl | the Alexandria database | GGA-PBE | optimized geometry; calculated volume = 27.51 Å³ per atom; final energy = -7.95 eV for the cell shown; total moment = 0.000 μB per atom; crystal system = monoclinic; E above lowest polymorph = 0.43 eV/f.u.; symmetry = Cm, No. 8; density of states at the Fermi level = 2.20 states/eV per cell
1.0
5.6053 -1.9135 0.0000
5.6053 1.9135 0.0000
-2.0314 0.0000 5.1288
Ca Mg Tl
1 2 1
direct
0.0000 0.0000 0.0000 Ca
0.2271 0.2271 0.6739 Mg
0.4802 0.4802 0.4923 Mg
0.7560 0.7560 0.2079 Tl


No. 3
InGaCoNi | the Alexandria database | GGA-PBE | optimized geometry; calculated volume = 13.92 Å³ per atom; final energy = -18.96 eV for the cell shown; total moment = 0.096 μB per atom; crystal system = cubic; symmetry = F-43m, No. 216; density of states at the Fermi level = 2.82 states/eV per cell
1.0
0.0000 3.0310 3.0310
3.0310 0.0000 3.0310
3.0310 3.0310 0.0000
In Ga Co Ni
1 1 1 1
direct
0.0000 0.0000 0.0000 In
0.5000 0.5000 0.5000 Ga
0.7500 0.7500 0.7500 Co
0.2500 0.2500 0.2500 Ni


No. 4
HfZr2Rh | the Alexandria database | GGA-PBE | optimized geometry; calculated volume = 19.68 Å³ per atom; final energy = -35.19 eV for the cell shown; total moment = 0.000 μB per atom; crystal system = cubic; E above lowest polymorph = 0.93 eV/f.u.; symmetry = Fm-3m, No. 225; density of states at the Fermi level = 5.48 states/eV per cell
1.0
0.0000 3.4014 3.4014
3.4014 0.0000 3.4014
3.4014 3.4014 0.0000
Hf Zr Rh
1 2 1
direct
0.0000 0.0000 0.0000 Hf
0.2500 0.2500 0.2500 Zr
0.7500 0.7500 0.7500 Zr
0.5000 0.5000 0.5000 Rh


No. 5
Ca12P3H5 | the Alexandria database | GGA-PBE | optimized geometry; calculated volume = 23.25 Å³ per atom; final energy = -269.21 eV for the cell shown; total moment = 0.000 μB per atom; crystal system = cubic; symmetry = Ia-3d, No. 230; density of states at the Fermi level = 33.48 states/eV per cell
1.0
-7.7477 7.7477 7.7477
7.7477 -7.7477 7.7477
7.7477 7.7477 -7.7477
Ca P H
48 12 20
direct
0.0250 0.2164 0.1228 Ca
0.0250 0.3086 0.9023 Ca
0.0937 0.7164 0.6914 Ca
0.0937 0.8772 0.4023 Ca
0.0977 0.6228 0.4063 Ca
0.0977 0.9750 0.6914 Ca
0.1228 0.0250 0.2164 Ca
0.1228 0.5977 0.9063 Ca
0.1914 0.2164 0.5937 Ca
0.1914 0.4750 0.5977 Ca
0.2164 0.1228 0.0250 Ca
0.2164 0.5937 0.1914 Ca
0.2836 0.3086 0.9063 Ca
0.2836 0.4750 0.3772 Ca
0.3086 0.9023 0.0250 Ca
0.3086 0.9063 0.2836 Ca
0.3772 0.2836 0.4750 Ca
0.3772 0.5937 0.9023 Ca
0.4023 0.0937 0.8772 Ca
0.4023 0.8086 0.5250 Ca
0.4063 0.0977 0.6228 Ca
0.4063 0.8086 0.7836 Ca
0.4750 0.3772 0.2836 Ca
0.4750 0.5977 0.1914 Ca
0.5250 0.4023 0.8086 Ca
0.5250 0.6228 0.7164 Ca
0.5937 0.1914 0.2164 Ca
0.5937 0.9023 0.3772 Ca
0.5977 0.1914 0.4750 Ca
0.5977 0.9063 0.1228 Ca
0.6228 0.4063 0.0977 Ca
0.6228 0.7164 0.5250 Ca
0.6914 0.0937 0.7164 Ca
0.6914 0.0977 0.9750 Ca
0.7164 0.5250 0.6228 Ca
0.7164 0.6914 0.0937 Ca
0.7836 0.4063 0.8086 Ca
0.7836 0.8772 0.9750 Ca
0.8086 0.5250 0.4023 Ca
0.8086 0.7836 0.4063 Ca
0.8772 0.4023 0.0937 Ca
0.8772 0.9750 0.7836 Ca
0.9023 0.0250 0.3086 Ca
0.9023 0.3772 0.5937 Ca
0.9063 0.1228 0.5977 Ca
0.9063 0.2836 0.3086 Ca
0.9750 0.6914 0.0977 Ca
0.9750 0.7836 0.8772 Ca
0.1250 0.2500 0.3750 P
0.1250 0.3750 0.7500 P
0.2500 0.3750 0.1250 P
0.2500 0.8750 0.6250 P
0.3750 0.1250 0.2500 P
0.3750 0.7500 0.1250 P
0.6250 0.2500 0.8750 P
0.6250 0.8750 0.7500 P
0.7500 0.1250 0.3750 P
0.7500 0.6250 0.8750 P
0.8750 0.6250 0.2500 P
0.8750 0.7500 0.6250 P
0.0000 0.0000 0.0000 H
0.0000 0.0000 0.5000 H
0.0000 0.5000 0.0000 H
0.0000 0.5000 0.5000 H
0.1250 0.7500 0.8750 H
0.1250 0.8750 0.2500 H
0.2500 0.1250 0.8750 H
0.2500 0.6250 0.3750 H
0.3750 0.2500 0.6250 H
0.3750 0.6250 0.7500 H
0.5000 0.0000 0.0000 H
0.5000 0.0000 0.5000 H
0.5000 0.5000 0.0000 H
0.5000 0.5000 0.5000 H
0.6250 0.3750 0.2500 H
0.6250 0.7500 0.3750 H
0.7500 0.3750 0.6250 H
0.7500 0.8750 0.1250 H
0.8750 0.1250 0.7500 H
0.8750 0.2500 0.1250 H


No. 6
TaCuRu2 | the Alexandria database | GGA-PBE | optimized geometry; calculated volume = 15.03 Å³ per atom; final energy = -33.91 eV for the cell shown; total moment = 0.000 μB per atom; crystal system = orthorhombic; symmetry = Cmmm, No. 65; density of states at the Fermi level = 5.19 states/eV per cell
1.0
1.5843 -2.2877 0.0000
1.5843 2.2877 0.0000
0.0000 0.0000 8.2936
Ta Cu Ru
1 1 2
direct
0.0000 0.0000 0.0000 Ta
0.0000 0.0000 0.5000 Cu
0.5000 0.5000 0.2499 Ru
0.5000 0.5000 0.7501 Ru


No. 7
TlTeN2Cl | the Alexandria database | GGA-PBE | optimized geometry; calculated volume = 25.23 Å³ per atom; final energy = -15.41 eV for the cell shown; total moment = 0.702 μB per atom; crystal system = tetragonal; E above lowest polymorph = 0.00 eV/f.u.; symmetry = P4/mmm, No. 123; energy relative to the elements, uncorrected = 1.7183 eV/atom; density of states at the Fermi level = 3.21 states/eV per cell
1.0
4.3688 0.0000 0.0000
0.0000 4.3688 0.0000
0.0000 0.0000 6.6094
Tl Te N Cl
1 1 2 1
direct
0.0000 0.0000 0.0000 Tl
0.0000 0.0000 0.5000 Te
0.0000 0.5000 0.0000 N
0.5000 0.0000 0.0000 N
0.5000 0.5000 0.5000 Cl


No. 8
Ce2Re2Si2C | the Alexandria database | GGA-PBE | optimized geometry; calculated volume = 17.87 Å³ per atom; final energy = -60.71 eV for the cell shown; total moment = 0.106 μB per atom; crystal system = monoclinic; symmetry = C2/m, No. 12; energy relative to the elements, uncorrected = -0.5542 eV/atom; density of states at the Fermi level = 9.25 states/eV per cell
1.0
5.5211 -2.0509 0.0000
5.5211 2.0509 0.0000
-4.3339 0.0000 5.5225
Ce Re Si C
2 2 2 1
direct
0.0706 0.0706 0.2985 Ce
0.9294 0.9294 0.7015 Ce
0.2926 0.2926 0.9068 Re
0.7074 0.7074 0.0932 Re
0.3559 0.3559 0.3124 Si
0.6441 0.6441 0.6876 Si
0.5000 0.5000 0.0000 C